CoHgB2 | the Open Quantum Materials Database | PBE | optimized geometry; total magnetic moment = 0.014 μB per atom; uncorrected energy = -14.12 eV per cell; SG = F-43m (216)
1.0
0.000 2.868 2.868
2.868 0.000 2.868
2.868 2.868 0.000
Co Hg B
1 1 2
Cartesian
0.000 0.000 0.000 Co
4.302 4.302 4.302 Hg
1.434 1.434 1.434 B
2.868 2.868 2.868 B